[1]
Here is a relaxed Pm2CdAg3 crystal from the Alexandria database. Energies are from PBE.

abc: 4.066 4.129 18.305
angles: 90.00 90.00 90.00
Space group Imm2 (No. 44)
Symmetry-distinct sites (fractional):
Pm: 0.000 0.000 0.000
Pm: 0.000 0.500 0.232
Cd: 0.000 0.000 0.408
Ag: 0.000 0.000 0.564
Ag: 0.000 0.500 0.659
Ag: 0.000 0.500 0.809

## Properties
- Polymorph energy (0 for the lowest one): 89 meV/atom
- VASP energy: -3.355 eV per atom
- Total magnetization: 0.00 Bohr magnetons per cell


[2]
Here is a relaxed PmDy4Ho2Mg crystal from the Alexandria database. Energies are from PBE.

abc: 5.757 5.757 7.442
angles: 90.00 90.00 90.00
Space group P4/mmm (No. 123)
Symmetry-distinct sites (fractional):
Pm: 0.000 0.000 0.000
Dy: 0.000 0.500 0.245
Ho: 0.000 0.000 0.500
Ho: 0.500 0.500 0.500
Mg: 0.500 0.500 0.000

## Properties
- VASP energy: -4.139 eV per atom
- Total magnetization: 0.02 Bohr magnetons per cell


[3]
Here is a relaxed K3ReBi3S8 crystal from the Alexandria database. Energies are from PBE.

abc: 13.988 8.086 8.793
angles: 90.00 121.92 90.00
Space group C2/m (No. 12)
Symmetry-distinct sites (fractional):
K: 0.000 0.000 0.000
K: 0.250 0.250 0.000
Re: 0.000 0.000 0.500
Bi: 0.000 0.500 0.500
Bi: 0.250 0.250 0.500
S: 0.012 0.218 0.319
S: 0.206 0.000 0.682
S: 0.238 0.500 0.715

## Properties
- VASP energy: -4.657 eV per atom
- Total magnetization: 2.28 Bohr magnetons per cell
- Raw formation energy: -9.46 eV/f.u.